No. 1
A plane-wave DFT calculation with PBE was carried out for a relaxed Ba2AlTe crystal.

Size of the total moment ... 0.000 μB/cell
Energy relative to the elements, uncorrected ... -684 meV per atom
ΔE to the lowest computed polymorph ... 0.047 eV/atom

POSCAR file:
```
Ba2AlTe
1.0
5.9724 0.0000 0.0000
0.0000 4.2011 0.0001
0.0000 0.0002 5.9740
Te Ba Al
1 2 1
Cartesian
0.0000 2.6257 2.2437
0.0000 0.5224 5.2296
2.9862 0.5281 2.2378
2.9862 2.6259 5.2242
```



No. 2
A plane-wave DFT calculation with PBE was carried out for a relaxed Ca2TmIn crystal.

Size of the total moment ... 0.000 μB/cell
ΔE to the lowest computed polymorph ... 0.096 eV/atom
ΔH_f (0 K) ... -0.42 eV per formula unit

POSCAR file:
```
Ca2TmIn
1.0
4.1550 0.0000 0.0000
0.0000 4.1550 0.0000
0.0000 0.0000 7.3048
Ca Tm In
2 1 1
Cartesian
0.0000 0.0000 5.5909
0.0000 0.0000 1.7139
2.0775 2.0775 3.6524
2.0775 2.0775 0.0000
```



No. 3
A plane-wave DFT calculation with PBE was carried out for a relaxed NaGaHg2Br4 crystal.

Size of the total moment ... 0.000 μB/cell
Energy relative to the elements, uncorrected ... -779 meV per atom

POSCAR file:
```
NaGaHg2Br4
1.0
-2.2192 6.2511 2.9802
-2.0997 0.0290 7.2480
12.7387 6.1351 5.4897
Na Ga Hg Br
2 2 4 8
Cartesian
3.6551 7.7704 8.6040
0.0000 0.0000 0.0000
4.7647 4.6448 7.1139
-1.1096 3.1256 1.4901
8.5831 5.2320 4.2895
1.9364 7.1542 4.1804
7.8107 8.6735 9.8042
-0.5005 6.8673 7.4038
-1.3143 2.8323 7.3522
10.6029 7.1359 7.1992
8.0357 10.8666 13.2806
-0.4845 3.9955 3.6038
2.8698 4.9671 8.4998
5.7910 6.7695 6.8946
4.0393 9.3189 11.0413
4.1397 3.7749 5.0002
```



No. 4
A plane-wave DFT calculation with PBE was carried out for a relaxed LiRhW2 crystal.

Size of the total moment ... 0.000 μB/cell
ΔE to the lowest computed polymorph ... 0.398 eV/atom
ΔH_f (0 K) ... 2.09 eV per formula unit

POSCAR file:
```
LiRhW2
1.0
-1.4612 2.3122 1.8412
-2.9504 -1.2639 -0.7543
0.2874 -3.2220 4.2744
Li Rh W
1 1 2
Cartesian
-2.1339 -0.2813 1.6120
-1.9902 -1.8923 3.7492
0.0045 -0.0503 0.0667
0.1392 -1.5607 2.0705
```



No. 5
A plane-wave DFT calculation with PBE was carried out for a relaxed CaTbEr4S8 crystal.

Size of the total moment ... 0.000 μB/cell
Energy relative to the elements, uncorrected ... -1999 meV per atom

POSCAR file:
```
CaTbEr4S8
1.0
8.0313 0.0000 0.0000
4.0157 6.9553 0.0000
4.0157 2.3184 6.5850
Ca Tb Er S
1 1 4 8
Cartesian
8.0313 4.6369 5.7700
4.0157 2.3184 6.5469
8.0313 4.6369 0.8181
4.0157 4.6000 3.3062
5.9916 1.1777 3.3062
2.0398 1.1777 3.3062
8.0313 7.1420 4.8442
10.2008 3.3843 4.8442
5.8618 3.3843 4.8442
4.0157 2.3184 1.8645
8.0313 2.1898 1.7190
5.9121 5.8604 1.7190
10.1505 5.8604 1.7190
12.0470 6.9553 4.7801
```



No. 6
A plane-wave DFT calculation with PBE was carried out for a relaxed AgHg2 crystal.

Size of the total moment ... 0.000 μB/cell
ΔE to the lowest computed polymorph ... 0.020 eV/atom
ΔH_f (0 K) ... 0.22 eV per formula unit

POSCAR file:
```
AgHg2
1.0
-5.3670 -0.9318 1.8477
-5.0076 -2.7785 -0.5392
11.6076 -2.7729 3.8931
Ag Hg
2 4
Cartesian
1.5768 -6.1681 5.0095
4.7784 -3.3097 3.2801
7.4988 -2.1540 2.7956
-0.7666 -3.1990 2.3595
-3.8073 -3.3837 2.0446
-7.1044 -2.9341 1.2004
```